# 1
DFT (GGA-PBE) results for a geometry-optimized TiBeRh4 structure.

a = 4.0559 Å, b = 4.0559 Å, c = 18.7691 Å
α = 90.00°, β = 90.00°, γ = 120.00°
Space group R-3m (No. 166, hexagonal axes)
Inequivalent atoms, fractional coordinates:
Ti: 0.0000 0.0000 0.0000
Be: 0.0000 0.0000 0.5000
Rh: 0.0000 0.0000 0.1346
Rh: 0.0000 0.0000 0.3801

Properties
DFT formation energy = -0.2100 eV/atom
Total magnetization = 0.00 μB/f.u.


# 2
DFT (GGA-PBE) results for a geometry-optimized Bi2SbPF structure.

a = 5.656 Å, b = 5.656 Å, c = 3.936 Å
α = 90.00°, β = 90.00°, γ = 90.00°
Space group P4/mmm (No. 123)
Inequivalent atoms, fractional coordinates:
Bi: 0.000 0.500 0.000
Sb: 0.000 0.000 0.500
P: 0.500 0.500 0.000
F: 0.500 0.500 0.500

Properties
Uncorrected formation energy = -1.22 eV per formula unit
Total magnetization = 0.00 μB/f.u.


# 3
DFT (GGA-PBE) results for a geometry-optimized TbDy2P3 structure.

a = 4.017 Å, b = 5.674 Å, c = 12.040 Å
α = 90.00°, β = 90.00°, γ = 90.00°
Space group Immm (No. 71)
Inequivalent atoms, fractional coordinates:
Tb: 0.000 0.000 0.000
Dy: 0.000 0.000 0.333
P: 0.000 0.500 0.000
P: 0.000 0.500 0.333

Properties
DFT formation energy = -1.6147 eV/atom
Total magnetization = 0.00 μB/f.u.


# 4
DFT (GGA-PBE) results for a geometry-optimized Li6Mg8Cu structure.

a = 8.3613 Å, b = 8.3613 Å, c = 5.3235 Å
α = 90.00°, β = 90.00°, γ = 120.00°
Space group P-3 (No. 147)
Inequivalent atoms, fractional coordinates:
Li: 0.0919 0.6284 0.2709
Mg: 0.0402 0.7800 0.7765
Mg: 0.3333 0.6667 0.7802
Cu: 0.0000 0.0000 0.5000

Properties
DFT formation energy = 0.0078 eV/atom
Total magnetization = 0.00 μB/f.u.


# 5
DFT (GGA-PBE) results for a geometry-optimized Zr2CoAs structure.

a = 3.446 Å, b = 3.446 Å, c = 6.018 Å
α = 90.00°, β = 90.00°, γ = 90.00°
Space group P4/mmm (No. 123)
Inequivalent atoms, fractional coordinates:
Zr: 0.000 0.000 0.248
Co: 0.500 0.500 0.000
As: 0.500 0.500 0.500

Properties
DFT formation energy = -0.4896 eV/atom
Total magnetization = 1.84 μB/f.u.


# 6
DFT (GGA-PBE) results for a geometry-optimized Te2MoAu structure.

a = 10.296 Å, b = 3.352 Å, c = 7.207 Å
α = 90.00°, β = 112.35°, γ = 90.00°
Space group Cm (No. 8)
Inequivalent atoms, fractional coordinates:
Te: 0.000 0.000 0.000
Te: 0.171 0.000 0.557
Mo: 0.494 0.000 0.286
Au: 0.289 0.500 0.310

Properties
Uncorrected formation energy = 0.64 eV per formula unit
Offset from the most stable computed form = 60 meV/atom
Total magnetization = 0.00 μB/f.u.